This record from Alexandria describes crystalline NaCaEuRh at its relaxed geometry. The functional is PBE-GGA.

- energy of formation (eV/atom) = -0.115
- D(E_F) (states/eV/cell) = 13.13

Cell and atoms, written as POSCAR:
```
NaCaEuRh
1.0
5.235 0.000 0.000
2.618 4.534 0.000
2.618 1.511 4.275
Eu Na Ca Rh
1 1 1 1
Direct
0.750 0.750 0.750
0.000 0.000 0.000
0.250 0.250 0.250
0.500 0.500 0.500
```